(1)
Np2Ge3AsRh4 | PBE | relaxed

Energy of formation = -0.523 eV/atom
Size of the total moment = 7.85 μB per cell

a b c (Å): 4.245 4.245 10.016
angles (deg): 90.00 90.00 90.00
Element x y z (fractional)
Ge 0.000 0.500 0.131
Rh 0.500 0.500 0.000
Ge 0.000 0.000 0.500
Rh 0.000 0.500 0.374
Ge 0.500 0.000 0.869
Rh 0.500 0.000 0.626
Np 0.500 0.000 0.256
Np 0.000 0.500 0.744
As 0.500 0.500 0.500
Rh 0.000 0.000 0.000

=====

(2)
LiPm3In3 | PBE | relaxed

Energy of formation = -0.386 eV/atom
Size of the total moment = 0.00 μB per cell

a b c (Å): 4.752 6.198 14.778
angles (deg): 84.05 80.75 67.46
Element x y z (fractional)
Pm 0.257 0.265 0.221
Pm 0.405 0.271 0.918
In 0.120 0.832 0.928
Li 0.244 0.912 0.599
Pm 0.543 0.299 0.616
In 0.880 0.168 0.072
Li 0.756 0.088 0.401
In 0.132 0.288 0.448
Pm 0.595 0.729 0.082
In 0.964 0.836 0.237
Pm 0.457 0.701 0.384
In 0.036 0.164 0.763
Pm 0.743 0.735 0.779
In 0.868 0.712 0.552

=====

(3)
LiPm6Si2 | PBE | relaxed

Electronic total energy = -4.696 eV/atom
Size of the total moment = 0.00 μB per cell

a b c (Å): 4.864 7.306 8.784
angles (deg): 114.58 106.01 90.00
Element x y z (fractional)
Pm 0.170 0.421 0.340
Pm 0.830 0.579 0.660
Si 0.333 0.333 0.666
Pm 0.500 0.265 0.000
Pm 0.500 0.735 0.000
Pm 0.170 0.918 0.340
Li 0.000 0.000 0.000
Si 0.667 0.667 0.334
Pm 0.830 0.082 0.660

=====

(4)
HfTi2OsI | PBE | relaxed

Electronic total energy = -6.709 eV/atom
Size of the total moment = 0.00 μB per cell

a b c (Å): 4.710 5.375 4.710
angles (deg): 90.00 90.00 90.00
Element x y z (fractional)
Ti 0.500 0.000 0.000
I 0.000 0.500 0.000
Ti 0.000 0.000 0.500
Hf 0.500 0.500 0.500
Os 0.000 0.000 0.000

=====

(5)
CeAgH8Pt2 | PBE | relaxed

Electronic total energy = -4.032 eV/atom
Size of the total moment = 1.09 μB per cell

a b c (Å): 4.901 4.901 6.420
angles (deg): 67.56 67.56 60.00
Element x y z (fractional)
Pt 0.735 0.735 0.795
H 0.711 0.083 0.813
H 0.828 0.828 0.515
Ce 0.500 0.500 0.500
H 0.289 0.917 0.187
H 0.608 0.289 0.187
Pt 0.265 0.265 0.205
H 0.083 0.392 0.813
Ag 0.000 0.000 0.000
H 0.172 0.172 0.485
H 0.917 0.608 0.187
H 0.392 0.711 0.813

=====

(6)
Ta2Cd2Fe | PBE | relaxed

Energy above the lowest structure with this stoichiometry = 23.2 kJ per mole of atoms
Energy of formation = 1.055 eV/atom
Size of the total moment = 0.10 μB per cell

a b c (Å): 3.713 3.713 7.677
angles (deg): 76.00 76.00 90.00
Element x y z (fractional)
Fe 0.000 0.000 0.000
Cd 0.409 0.409 0.181
Ta 0.250 0.750 0.500
Ta 0.750 0.250 0.500
Cd 0.591 0.591 0.819

=====

(7)
ScCd2Bi | PBE | relaxed

Energy of formation = 0.238 eV/atom
Size of the total moment = 0.00 μB per cell

a b c (Å): 3.318 3.318 11.739
angles (deg): 81.87 81.87 60.00
Element x y z (fractional)
Cd 0.085 0.085 0.744
Sc 0.000 0.000 0.000
Cd 0.915 0.915 0.256
Bi 0.500 0.500 0.500

=====

(8)
MnCd2BPb | PBE | relaxed

Energy of formation = 0.741 eV/atom
Size of the total moment = 4.28 μB per cell

a b c (Å): 4.390 5.850 4.390
angles (deg): 90.00 90.00 90.00
Element x y z (fractional)
Pb 0.000 0.500 0.000
Cd 0.000 0.000 0.500
B 0.000 0.000 0.000
Cd 0.500 0.000 0.000
Mn 0.500 0.500 0.500

=====

(9)
RbTiRh2 | PBE | relaxed

Energy above the lowest structure with this stoichiometry = 12.1 kJ per mole of atoms
Energy of formation = 0.645 eV/atom
Size of the total moment = 0.00 μB per cell

a b c (Å): 4.717 4.717 4.717
angles (deg): 60.00 60.00 60.00
Element x y z (fractional)
Ti 0.000 0.000 0.000
Rb 0.500 0.500 0.500
Rh 0.250 0.250 0.250
Rh 0.750 0.750 0.750

=====

(10)
BeSn3As4 | PBE | relaxed

Energy of formation = 0.001 eV/atom
Size of the total moment = 0.00 μB per cell

a b c (Å): 6.117 6.117 7.317
angles (deg): 114.71 114.71 90.00
Element x y z (fractional)
As 0.899 0.899 0.227
Sn 0.250 0.750 0.500
Sn 0.500 0.500 0.000
As 0.327 0.327 0.227
Sn 0.750 0.250 0.500
As 0.101 0.673 0.773
As 0.673 0.101 0.773
Be 0.000 0.000 0.000

=====

(11)
TbPm3Sm2S6 | PBE | relaxed

Electronic total energy = -6.454 eV/atom
Size of the total moment = 0.00 μB per cell

a b c (Å): 6.945 6.945 6.943
angles (deg): 99.57 99.57 120.17
Element x y z (fractional)
Pm 0.169 0.831 0.500
S 0.247 0.247 0.754
S 0.919 0.590 0.756
S 0.081 0.410 0.244
Sm 0.333 0.667 0.000
S 0.410 0.081 0.244
Sm 0.667 0.333 0.000
S 0.590 0.919 0.756
Tb 0.000 0.000 0.000
Pm 0.831 0.169 0.500
Pm 0.500 0.500 0.500
S 0.753 0.753 0.246

=====

(12)
Sc2Bi | PBE | relaxed

Energy of formation = -0.548 eV/atom
Size of the total moment = 0.75 μB per cell

a b c (Å): 4.311 4.311 8.008
angles (deg): 90.00 90.00 90.00
Element x y z (fractional)
Sc 0.000 0.000 0.500
Sc 0.000 0.500 0.838
Bi 0.000 0.500 0.215
Sc 0.500 0.500 0.500
Sc 0.500 0.000 0.162
Bi 0.500 0.000 0.785